Entry 1:
A geometry-optimized MnCd2Mo structure. Source: the Alexandria database, functional GGA-PBE.

Cell lengths 3.0419, 3.0547, 7.5079 Å; angles 90.00, 90.00, 90.00 degrees
Fractional positions:
Mn  0.0000  0.0000  0.0000
Cd  0.0000  0.0000  0.4424
Cd  0.5000  0.5000  0.7453
Mo  0.5000  0.5000  0.1606

Summary:
excess energy over the best structure of this formula in the dataset: 0.0 meV per atom
N(E_F): 0.66 states/eV/atom
energy of formation: 0.24 eV per atom
final energy: -20.85 eV per cell



Entry 2:
A geometry-optimized Mn3CdMo structure. Source: the Alexandria database, functional GGA-PBE.

Cell lengths 4.6012, 4.6012, 4.6012 Å; angles 90.00, 90.00, 90.00 degrees
Fractional positions:
Mn  0.0000  0.0000  0.5000
Mn  0.0000  0.5000  0.0000
Mn  0.5000  0.0000  0.0000
Cd  0.5000  0.5000  0.5000
Mo  0.0000  0.0000  0.0000

Summary:
excess energy over the best structure of this formula in the dataset: 0.0 meV per atom
N(E_F): 1.67 states/eV/atom
energy of formation: 1.19 eV per atom
final energy: -33.31 eV per cell



Entry 3:
A geometry-optimized MnCdMo structure. Source: the Alexandria database, functional GGA-PBE.

Cell lengths 2.9172, 4.1422, 8.2275 Å; angles 90.00, 91.63, 90.00 degrees
Fractional positions:
Mn  0.0000  0.0000  0.0000
Mn  0.0547  0.5000  0.2000
Cd  0.4471  0.0000  0.7043
Cd  0.9215  0.5000  0.5162
Mo  0.4936  0.0000  0.2566
Mo  0.5277  0.5000  0.9639

Summary:
excess energy over the best structure of this formula in the dataset: 12.1 meV per atom
N(E_F): 0.63 states/eV/atom
energy of formation: 0.32 eV per atom
final energy: -39.91 eV per cell



Entry 4:
A geometry-optimized MnCd2Mo structure. Source: the Alexandria database, functional GGA-PBE.

Cell lengths 9.6675, 9.6675, 9.6675 Å; angles 17.58, 17.58, 17.58 degrees
Fractional positions:
Mn  0.0000  0.0000  0.0000
Cd  0.2499  0.2499  0.2499
Cd  0.4841  0.4841  0.4841
Mo  0.7279  0.7279  0.7279

Summary:
excess energy over the best structure of this formula in the dataset: 58.6 meV per atom
N(E_F): 0.58 states/eV/atom
energy of formation: 0.30 eV per atom
final energy: -20.62 eV per cell